Entry 1:
Here is La6Pm8Tl after structural relaxation from the Alexandria database. Energies are from PBE-GGA.

The structure in CIF format:
```
data_La6Pm8Tl
_chemical_formula_sum 'La18 Pm24 Tl3'
_cell_length_a 9.2397
_cell_length_b 9.2397
_cell_length_c 21.1726
_cell_angle_alpha 90.00
_cell_angle_beta 90.00
_cell_angle_gamma 120.00
_space_group_name_H-M_alt 'R -3'
_space_group_IT_number 148
_space_group_name_Hall '-R 3'
loop_
_atom_site_label
_atom_site_fract_x
_atom_site_fract_y
_atom_site_fract_z
La1 0.0522 0.2549 0.2077
Pm1 0.0000 0.0000 0.0775
Pm2 0.0834 0.5736 0.3061
Tl1 0.0000 0.0000 0.5000
```

Density of states at the Fermi level: 1.648 states/eV per atom
Formation energy: 0.020 eV per atom

Entry 2:
Here is La5Pm6Tl after structural relaxation from the Alexandria database. Energies are from PBE-GGA.

The structure in CIF format:
```
data_La5Pm6Tl
_chemical_formula_sum 'La10 Pm12 Tl2'
_cell_length_a 6.2823
_cell_length_b 10.9033
_cell_length_c 12.1070
_cell_angle_alpha 90.00
_cell_angle_beta 100.10
_cell_angle_gamma 90.00
_space_group_name_H-M_alt 'C 1 2/m 1'
_space_group_IT_number 12
loop_
_space_group_symop_operation_xyz
'x,y,z'
'-x,-y,-z'
'-x,y,-z'
'x,-y,z'
'x+1/2,y+1/2,z'
'-x+1/2,-y+1/2,-z'
'-x+1/2,y+1/2,-z'
'x+1/2,-y+1/2,z'
loop_
_atom_site_label
_atom_site_fract_x
_atom_site_fract_y
_atom_site_fract_z
La1 0.0000 0.0000 0.0000
La2 0.0000 0.1663 0.5000
La3 0.0000 0.3299 0.0000
Pm1 0.2428 0.5000 0.2517
Pm2 0.2441 0.3374 0.7465
Tl1 0.0000 0.5000 0.5000
```

Density of states at the Fermi level: 1.355 states/eV per atom
Formation energy: -0.042 eV per atom

Entry 3:
Here is La2Pm3Tl3 after structural relaxation from the Alexandria database. Energies are from PBE-GGA.

The structure in CIF format:
```
data_La2Pm3Tl3
_chemical_formula_sum 'La4 Pm6 Tl6'
_cell_length_a 4.5957
_cell_length_b 5.0490
_cell_length_c 21.2304
_cell_angle_alpha 90.00
_cell_angle_beta 90.00
_cell_angle_gamma 90.00
_space_group_name_H-M_alt 'I m m m'
_space_group_IT_number 71
_space_group_name_Hall '-I 2 2'
loop_
_atom_site_label
_atom_site_fract_x
_atom_site_fract_y
_atom_site_fract_z
La1 0.0000 0.0000 0.2392
Pm1 0.0000 0.0000 0.0000
Pm2 0.0000 0.5000 0.1170
Tl1 0.0000 0.0000 0.5000
Tl2 0.0000 0.5000 0.3761
```

Density of states at the Fermi level: 1.050 states/eV per atom
Formation energy: -0.281 eV per atom

Entry 4:
Here is La3Pm6Tl after structural relaxation from the Alexandria database. Energies are from PBE-GGA.

The structure in CIF format:
```
data_La3Pm6Tl
_chemical_formula_sum 'La12 Pm24 Tl4'
_cell_length_a 13.3723
_cell_length_b 16.0302
_cell_length_c 6.5087
_cell_angle_alpha 90.00
_cell_angle_beta 90.00
_cell_angle_gamma 90.00
_space_group_name_H-M_alt 'C m c 21'
_space_group_IT_number 36
loop_
_space_group_symop_operation_xyz
'x,y,z'
'-x,-y,z+1/2'
'-x,y,z'
'x,-y,z+1/2'
'x+1/2,y+1/2,z'
'-x+1/2,-y+1/2,z+1/2'
'-x+1/2,y+1/2,z'
'x+1/2,-y+1/2,z+1/2'
loop_
_atom_site_label
_atom_site_fract_x
_atom_site_fract_y
_atom_site_fract_z
La1 0.0000 0.1420 0.0000
La2 0.1969 0.4117 0.3308
Pm1 0.0000 0.2494 0.4949
Pm2 0.0000 0.4540 0.6617
Pm3 0.1203 0.0536 0.5070
Pm4 0.2190 0.3068 0.7942
Tl1 0.0000 0.3402 0.0529
```

Density of states at the Fermi level: 1.309 states/eV per atom
Formation energy: 0.047 eV per atom

It is found that the raw total energy values, taken in the order of the records, are -69.6, -56.0, -33.5, -45.2 eV/f.u..